[1]
# Re5Ru (GGA-PBEsol, optimized geometry)
# Density of states at the Fermi level in states/eV/f.u.: 4.49
# Theoretical density in Mg/m³: 19.8
# Magnetic moment in μB per formula unit: 0.0
# Total DFT energy (no corrections) in eV/atom: -12.839
# Calculated formation energy in kJ/mol of atoms: -3.2
# Energy above the lowest structure with this stoichiometry in meV/atom: 5
data_Re5Ru
_cell_length_a 4.402
_cell_length_b 7.279
_cell_length_c 7.279
_cell_angle_alpha 21.73
_cell_angle_beta 90.00
_cell_angle_gamma 90.00
_space_group_name_H-M_alt 'P 1'
_space_group_IT_number 1
loop_
_space_group_symop_operation_xyz
'x,y,z'
loop_
_atom_site_label
_atom_site_fract_x
_atom_site_fract_y
_atom_site_fract_z
Re1 0.000 0.000 0.000
Re2 0.000 0.330 0.330
Re3 0.500 0.220 0.220
Re4 0.500 0.555 0.555
Re5 0.500 0.888 0.888
Ru1 0.000 0.667 0.667



[2]
# TaBrCl2 (GGA-PBEsol, optimized geometry)
# Density of states at the Fermi level in states/eV/f.u.: 3.23
# Theoretical density in Mg/m³: 7.6
# Magnetic moment in μB per formula unit: 0.0
# Uncorrected formation energy in eV per formula unit: 1.69
# Total DFT energy (no corrections) in eV/atom: -4.187
# Energy above the lowest structure with this stoichiometry in meV/atom: 1199
data_TaBrCl2
_cell_length_a 3.232
_cell_length_b 4.685
_cell_length_c 4.783
_cell_angle_alpha 90.00
_cell_angle_beta 90.00
_cell_angle_gamma 90.00
_space_group_name_H-M_alt 'P 1'
_space_group_IT_number 1
loop_
_space_group_symop_operation_xyz
'x,y,z'
loop_
_atom_site_label
_atom_site_fract_x
_atom_site_fract_y
_atom_site_fract_z
Ta1 0.000 0.000 0.000
Br1 0.500 0.000 0.500
Cl1 0.000 0.500 0.500
Cl2 0.500 0.500 0.000



[3]
# Mg3PPb (GGA-PBEsol, optimized geometry)
# Density of states at the Fermi level in states/eV/f.u.: 3.15
# Theoretical density in Mg/m³: 4.4
# Magnetic moment in μB per formula unit: 0.0
# Total DFT energy (no corrections) in eV/atom: -3.132
# Calculated formation energy in kJ/mol of atoms: -13.9
data_Mg3PPb
_cell_length_a 4.901
_cell_length_b 4.901
_cell_length_c 4.901
_cell_angle_alpha 90.00
_cell_angle_beta 90.00
_cell_angle_gamma 90.00
_space_group_name_H-M_alt 'P 1'
_space_group_IT_number 1
loop_
_space_group_symop_operation_xyz
'x,y,z'
loop_
_atom_site_label
_atom_site_fract_x
_atom_site_fract_y
_atom_site_fract_z
Mg1 0.000 0.000 0.500
Mg2 0.000 0.500 0.000
Mg3 0.500 0.000 0.000
P1 0.000 0.000 0.000
Pb1 0.500 0.500 0.500



[4]
# ScSBrCl2 (GGA-PBEsol, optimized geometry)
# Density of states at the Fermi level in states/eV/f.u.: 2.40
# Theoretical density in Mg/m³: 3.2
# Magnetic moment in μB per formula unit: 0.0
# Uncorrected formation energy in eV per formula unit: -4.85
# Total DFT energy (no corrections) in eV/atom: -4.345
data_ScSBrCl2
_cell_length_a 4.732
_cell_length_b 4.732
_cell_length_c 5.344
_cell_angle_alpha 90.00
_cell_angle_beta 90.00
_cell_angle_gamma 90.00
_space_group_name_H-M_alt 'P 1'
_space_group_IT_number 1
loop_
_space_group_symop_operation_xyz
'x,y,z'
loop_
_atom_site_label
_atom_site_fract_x
_atom_site_fract_y
_atom_site_fract_z
Sc1 0.000 0.000 0.000
S1 0.000 0.000 0.500
Br1 0.500 0.500 0.500
Cl1 0.000 0.500 0.000
Cl2 0.500 0.000 0.000



[5]
# YPdF3 (GGA-PBEsol, optimized geometry)
# Density of states at the Fermi level in states/eV/f.u.: 7.86
# Theoretical density in Mg/m³: 5.2
# Magnetic moment in μB per formula unit: 0.3
# Uncorrected formation energy in eV per formula unit: -12.79
# Total DFT energy (no corrections) in eV/atom: -6.271
data_YPdF3
_cell_length_a 4.329
_cell_length_b 4.329
_cell_length_c 4.329
_cell_angle_alpha 90.00
_cell_angle_beta 90.00
_cell_angle_gamma 90.00
_space_group_name_H-M_alt 'P 1'
_space_group_IT_number 1
loop_
_space_group_symop_operation_xyz
'x,y,z'
loop_
_atom_site_label
_atom_site_fract_x
_atom_site_fract_y
_atom_site_fract_z
Y1 0.000 0.000 0.000
Pd1 0.500 0.500 0.500
F1 0.000 0.000 0.500
F2 0.000 0.500 0.000
F3 0.500 0.000 0.000



[6]
# Al3Cr (GGA-PBEsol, optimized geometry)
# Density of states at the Fermi level in states/eV/f.u.: 1.90
# Theoretical density in Mg/m³: 3.9
# Magnetic moment in μB per formula unit: 1.5
# Total DFT energy (no corrections) in eV/atom: -5.669
# Calculated formation energy in kJ/mol of atoms: -3.8
data_Al3Cr
_cell_length_a 5.105
_cell_length_b 5.105
_cell_length_c 5.105
_cell_angle_alpha 147.25
_cell_angle_beta 64.02
_cell_angle_gamma 126.66
_space_group_name_H-M_alt 'P 1'
_space_group_IT_number 1
loop_
_space_group_symop_operation_xyz
'x,y,z'
loop_
_atom_site_label
_atom_site_fract_x
_atom_site_fract_y
_atom_site_fract_z
Al1 0.000 0.000 0.000
Al2 0.389 0.627 0.762
Al3 0.865 0.627 0.238
Cr1 0.478 0.978 0.500



[7]
# CaBi2W (GGA-PBEsol, optimized geometry)
# Density of states at the Fermi level in states/eV/f.u.: 4.86
# Theoretical density in Mg/m³: 11.8
# Magnetic moment in μB per formula unit: 0.0
# Total DFT energy (no corrections) in eV/atom: -5.783
# Calculated formation energy in kJ/mol of atoms: 33.3
# Energy above the lowest structure with this stoichiometry in meV/atom: 0
data_CaBi2W
_cell_length_a 5.039
_cell_length_b 5.039
_cell_length_c 5.039
_cell_angle_alpha 60.00
_cell_angle_beta 60.00
_cell_angle_gamma 60.00
_space_group_name_H-M_alt 'P 1'
_space_group_IT_number 1
loop_
_space_group_symop_operation_xyz
'x,y,z'
loop_
_atom_site_label
_atom_site_fract_x
_atom_site_fract_y
_atom_site_fract_z
Ca1 0.000 0.000 0.000
Bi1 0.250 0.250 0.250
Bi2 0.750 0.750 0.750
W1 0.500 0.500 0.500



[8]
# MgGa2S (GGA-PBEsol, optimized geometry)
# Density of states at the Fermi level in states/eV/f.u.: 2.23
# Theoretical density in Mg/m³: 4.2
# Magnetic moment in μB per formula unit: 0.0
# Uncorrected formation energy in eV per formula unit: 0.34
# Total DFT energy (no corrections) in eV/atom: -3.109
data_MgGa2S
_cell_length_a 4.791
_cell_length_b 4.791
_cell_length_c 4.791
_cell_angle_alpha 60.00
_cell_angle_beta 60.00
_cell_angle_gamma 60.00
_space_group_name_H-M_alt 'P 1'
_space_group_IT_number 1
loop_
_space_group_symop_operation_xyz
'x,y,z'
loop_
_atom_site_label
_atom_site_fract_x
_atom_site_fract_y
_atom_site_fract_z
Mg1 0.000 0.000 0.000
Ga1 0.250 0.250 0.250
Ga2 0.750 0.750 0.750
S1 0.500 0.500 0.500



[9]
# ZrRe3Sn (GGA-PBEsol, optimized geometry)
# Density of states at the Fermi level in states/eV/f.u.: 9.50
# Theoretical density in Mg/m³: 12.0
# Magnetic moment in μB per formula unit: 0.3
# Total DFT energy (no corrections) in eV/atom: -8.406
# Calculated formation energy in kJ/mol of atoms: 218.4
data_ZrRe3Sn
_cell_length_a 4.738
_cell_length_b 4.738
_cell_length_c 4.738
_cell_angle_alpha 90.00
_cell_angle_beta 90.00
_cell_angle_gamma 90.00
_space_group_name_H-M_alt 'P 1'
_space_group_IT_number 1
loop_
_space_group_symop_operation_xyz
'x,y,z'
loop_
_atom_site_label
_atom_site_fract_x
_atom_site_fract_y
_atom_site_fract_z
Zr1 0.000 0.000 0.000
Re1 0.000 0.500 0.500
Re2 0.500 0.000 0.500
Re3 0.500 0.500 0.000
Sn1 0.500 0.500 0.500



[10]
# Ca2RhAu (GGA-PBEsol, optimized geometry)
# Density of states at the Fermi level in states/eV/f.u.: 1.57
# Theoretical density in Mg/m³: 7.4
# Magnetic moment in μB per formula unit: 0.0
# Total DFT energy (no corrections) in eV/atom: -4.462
# Calculated formation energy in kJ/mol of atoms: -36.6
data_Ca2RhAu
_cell_length_a 6.006
_cell_length_b 6.006
_cell_length_c 6.006
_cell_angle_alpha 146.73
_cell_angle_beta 133.84
_cell_angle_gamma 58.07
_space_group_name_H-M_alt 'P 1'
_space_group_IT_number 1
loop_
_space_group_symop_operation_xyz
'x,y,z'
loop_
_atom_site_label
_atom_site_fract_x
_atom_site_fract_y
_atom_site_fract_z
Ca1 0.000 0.000 0.000
Ca2 0.709 0.209 0.500
Rh1 0.242 0.742 0.500
Au1 0.445 0.445 0.000



[11]
# RbTi2NiW (GGA-PBEsol, optimized geometry)
# Density of states at the Fermi level in states/eV/f.u.: 3.90
# Theoretical density in Mg/m³: 6.8
# Magnetic moment in μB per formula unit: 0.8
# Total DFT energy (no corrections) in eV/atom: -6.247
# Calculated formation energy in kJ/mol of atoms: 123.5
data_RbTi2NiW
_cell_length_a 4.724
_cell_length_b 4.724
_cell_length_c 4.646
_cell_angle_alpha 90.00
_cell_angle_beta 90.00
_cell_angle_gamma 90.00
_space_group_name_H-M_alt 'P 1'
_space_group_IT_number 1
loop_
_space_group_symop_operation_xyz
'x,y,z'
loop_
_atom_site_label
_atom_site_fract_x
_atom_site_fract_y
_atom_site_fract_z
Rb1 0.000 0.000 0.000
Ti1 0.000 0.500 0.500
Ti2 0.500 0.000 0.500
Ni1 0.500 0.500 0.500
W1 0.500 0.500 0.000



[12]
# Li2YCd (GGA-PBEsol, optimized geometry)
# Density of states at the Fermi level in states/eV/f.u.: 2.47
# Theoretical density in Mg/m³: 4.1
# Magnetic moment in μB per formula unit: 0.0
# Total DFT energy (no corrections) in eV/atom: -3.076
# Calculated formation energy in kJ/mol of atoms: -8.5
# Energy above the lowest structure with this stoichiometry in meV/atom: 20
data_Li2YCd
_cell_length_a 5.364
_cell_length_b 5.364
_cell_length_c 5.267
_cell_angle_alpha 104.06
_cell_angle_beta 104.06
_cell_angle_gamma 36.97
_space_group_name_H-M_alt 'P 1'
_space_group_IT_number 1
loop_
_space_group_symop_operation_xyz
'x,y,z'
loop_
_atom_site_label
_atom_site_fract_x
_atom_site_fract_y
_atom_site_fract_z
Li1 0.232 0.232 0.206
Li2 0.768 0.768 0.794
Y1 0.000 0.000 0.500
Cd1 0.500 0.500 0.000



no.,calculated volume (Å³ per cell)
1,86.4
2,72.4
3,117.7
4,119.7
5,81.1
6,57.1
7,90.5
8,77.8
9,106.3
10,85.0
11,103.7
12,88.1